Density functional theory data (PBE-GGA) for an optimized crystal structure of Li2CaAcPb2.

```
6
Lattice="4.951 0.000 0.000 -2.475 4.288 0.000 0.000 0.000 7.956" Properties=species:S:1:pos:R:3 pbc="T T T"
Li 0.000 2.858 2.441
Li 2.475 1.429 5.515
Ca 0.000 0.000 3.978
Ac 0.000 0.000 0.000
Pb 0.000 2.858 5.881
Pb 2.475 1.429 2.075
```

Output
Volume ... 28.150 Å³ per atom
Formation energy ... -289 kJ/mol of formula units
N(E_F) ... 3.074 states/eV/cell
Crystal system ... trigonal